[1]
Pm2NdY3As6 | Alexandria via LeMat-Bulk | GGA-PBE | relaxed; space-group type = No. 12; energy of formation from the pure elements = -1.54 eV per atom; DOS at the Fermi energy = 1.75 states/eV/cell; crystal system = monoclinic
1.0
3.628 -6.283 0.000
3.628 6.283 0.000
-2.416 0.000 6.834
Pm Nd Y As
2 1 3 6
Direct
0.167 0.833 0.000
0.833 0.167 0.000
0.500 0.500 0.000
0.000 0.000 0.500
0.334 0.666 0.500
0.666 0.334 0.500
0.080 0.414 0.743
0.251 0.251 0.257
0.414 0.080 0.743
0.586 0.920 0.257
0.749 0.749 0.743
0.920 0.586 0.257

---

[2]
Pm3Nd2YAs6 | Alexandria via LeMat-Bulk | GGA-PBE | relaxed; space-group type = No. 12; energy of formation from the pure elements = -1.52 eV per atom; DOS at the Fermi energy = 1.73 states/eV/cell; crystal system = monoclinic
1.0
9.221 -2.117 0.000
9.221 2.117 0.000
-1.943 0.000 8.235
Pm Nd Y As
3 2 1 6
Direct
0.000 0.000 0.000
0.333 0.333 0.666
0.667 0.667 0.334
0.334 0.334 0.168
0.666 0.666 0.832
0.000 0.000 0.500
0.165 0.165 0.581
0.166 0.166 0.084
0.499 0.499 0.745
0.501 0.501 0.255
0.834 0.834 0.916
0.835 0.835 0.419

---

[3]
PmNd2ZrAs4 | Alexandria via LeMat-Bulk | GGA-PBE | relaxed; space-group type = No. 10; energy of formation from the pure elements = -1.40 eV per atom; DOS at the Fermi energy = 1.48 states/eV/cell; crystal system = monoclinic
1.0
7.191 0.000 0.000
0.000 4.150 0.000
-2.373 0.000 6.793
Pm Nd Zr As
1 2 1 4
Direct
0.000 0.000 0.000
0.000 0.500 0.500
0.500 0.000 0.500
0.500 0.500 0.000
0.258 0.500 0.239
0.266 0.000 0.768
0.734 0.000 0.232
0.742 0.500 0.761

---

Electronic total energy for every record listed, in sequence, given in eV/cell: -79.99, -76.42, -52.65.